(1)
ZrSiClO4 (PBE, relaxed); crystal system = monoclinic; raw total energy = -53.0 eV per formula unit
1.0
-2.348 -0.437 5.692
-4.825 -3.732 0.943
2.897 -5.329 2.187
Zr Si Cl O
2 2 2 8
direct
0.294 0.294 0.846 Zr
0.706 0.706 0.154 Zr
0.645 0.645 0.719 Si
0.355 0.355 0.281 Si
0.026 0.026 0.139 Cl
0.974 0.974 0.861 Cl
0.291 0.291 0.533 O
0.709 0.709 0.467 O
0.106 0.497 0.149 O
0.513 0.513 0.232 O
0.503 0.894 0.851 O
0.497 0.106 0.149 O
0.487 0.487 0.768 O
0.894 0.503 0.851 O

=====

(2)
ZrSiCl2O (PBE, relaxed); crystal system = tetragonal; raw total energy = -24.0 eV per formula unit
1.0
-0.357 1.728 5.102
-0.366 -3.109 1.028
5.353 -0.456 0.529
Si O Zr Cl
1 1 1 2
direct
0.000 0.500 0.000 Si
0.000 0.000 0.000 O
0.500 0.500 0.500 Zr
0.000 0.000 0.500 Cl
0.500 0.000 0.000 Cl

=====

(3)
Sm2ClO2 (PBE, relaxed); crystal system = monoclinic; raw total energy = -35.5 eV per formula unit
1.0
4.105 0.448 0.058
-0.434 4.107 0.058
-1.298 -1.610 5.780
Sm Cl O
2 1 2
direct
0.690 0.690 0.317 Sm
0.310 0.310 0.683 Sm
0.000 0.000 0.000 Cl
0.254 0.746 0.500 O
0.746 0.254 0.500 O

=====

(4)
Sm4Cl6O (PBE, relaxed); crystal system = hexagonal; raw total energy = -56.5 eV per formula unit
1.0
-8.112 -3.248 2.627
7.674 -3.806 3.143
-0.021 4.678 5.718
Sm Cl O
8 12 2
direct
0.808 0.192 0.525 Sm
0.616 0.808 0.025 Sm
0.192 0.384 0.025 Sm
0.808 0.616 0.525 Sm
0.384 0.192 0.525 Sm
0.192 0.808 0.025 Sm
0.667 0.333 0.857 Sm
0.333 0.667 0.357 Sm
0.490 0.980 0.723 Cl
0.510 0.020 0.223 Cl
0.980 0.490 0.223 Cl
0.490 0.510 0.723 Cl
0.864 0.136 0.907 Cl
0.728 0.864 0.407 Cl
0.510 0.490 0.223 Cl
0.020 0.510 0.723 Cl
0.136 0.864 0.407 Cl
0.272 0.136 0.907 Cl
0.864 0.728 0.907 Cl
0.136 0.272 0.407 Cl
0.333 0.667 0.033 O
0.667 0.333 0.533 O

=====

(5)
SmClO2 (PBE, relaxed); crystal system = monoclinic; raw total energy = -23.8 eV per formula unit; polymorph energy (0 for the lowest one) = 283.1 meV/atom
1.0
3.656 0.000 0.000
0.000 6.275 -0.174
0.000 1.770 6.366
Sm Cl O
2 2 4
direct
0.750 0.832 0.821 Sm
0.250 0.168 0.179 Sm
0.750 0.243 0.487 Cl
0.250 0.757 0.513 Cl
0.250 0.536 0.002 O
0.750 0.464 0.998 O
0.250 0.047 0.867 O
0.750 0.953 0.133 O

=====

(6)
Sm2Cl3O (PBE, relaxed); crystal system = monoclinic; raw total energy = -35.3 eV per formula unit
1.0
4.026 0.000 0.000
2.013 7.903 0.423
2.013 2.283 9.319
Sm Cl O
4 6 2
direct
0.865 0.482 0.788 Sm
0.135 0.518 0.212 Sm
0.586 0.279 0.549 Sm
0.414 0.721 0.451 Sm
0.048 0.141 0.764 Cl
0.952 0.859 0.236 Cl
0.663 0.684 0.989 Cl
0.337 0.316 0.011 Cl
0.771 0.843 0.616 Cl
0.229 0.157 0.384 Cl
0.417 0.496 0.670 O
0.583 0.504 0.330 O

=====

(7)
Sm2Cl2O (PBE, relaxed); crystal system = tetragonal; raw total energy = -24.4 eV per formula unit
1.0
-2.665 -1.676 -2.836
-0.349 -3.483 2.387
-10.313 5.463 6.462
Sm Cl O
2 2 1
direct
0.500 0.500 0.159 Sm
0.500 0.500 0.841 Sm
0.500 0.500 0.652 Cl
0.500 0.500 0.348 Cl
0.500 0.500 0.000 O

=====

(8)
SmClO2 (PBE, relaxed); crystal system = monoclinic; raw total energy = -24.9 eV per formula unit; polymorph energy (0 for the lowest one) = 0.0 meV/atom
1.0
4.292 0.000 0.000
0.000 5.029 -0.019
0.000 2.021 6.166
Sm Cl O
2 2 4
direct
0.250 0.818 0.834 Sm
0.750 0.182 0.166 Sm
0.750 0.214 0.588 Cl
0.250 0.786 0.412 Cl
0.750 0.757 0.047 O
0.250 0.243 0.953 O
0.750 0.616 0.875 O
0.250 0.384 0.125 O

=====

(9)
Sm2Ta2Cl2O7 (PBE, relaxed); crystal system = monoclinic; raw total energy = -110.2 eV per formula unit
1.0
-1.353 7.401 -2.714
-4.653 5.435 -3.576
-3.503 3.917 4.479
Sm Ta Cl O
2 2 2 7
direct
0.306 0.306 0.163 Sm
0.694 0.694 0.837 Sm
0.965 0.965 0.801 Ta
0.035 0.035 0.199 Ta
0.681 0.681 0.433 Cl
0.319 0.319 0.567 Cl
0.452 0.452 0.841 O
0.548 0.548 0.159 O
0.919 0.919 0.155 O
0.000 0.000 0.500 O
0.823 0.823 0.935 O
0.081 0.081 0.845 O
0.177 0.177 0.065 O

=====

(10)
SmTeClO4 (PBE, relaxed); crystal system = monoclinic; raw total energy = -41.9 eV per formula unit
1.0
6.429 0.000 -0.069
2.130 6.066 -0.069
1.664 1.179 6.792
Sm Te Cl O
2 2 2 8
direct
0.222 0.222 0.882 Sm
0.778 0.778 0.118 Sm
0.638 0.638 0.727 Te
0.362 0.362 0.273 Te
0.014 0.014 0.227 Cl
0.986 0.986 0.773 Cl
0.275 0.275 0.533 O
0.725 0.725 0.467 O
0.119 0.486 0.140 O
0.542 0.542 0.224 O
0.514 0.881 0.860 O
0.486 0.119 0.140 O
0.458 0.458 0.776 O
0.881 0.514 0.860 O

=====

Which of these has the lowest raw total energy? Sm2Ta2Cl2O7

=====

Which of these has the lowest raw total energy? Sm2Ta2Cl2O7